# DyTcGe4 (PBE-GGA, optimized geometry)
data_DyTcGe4
_cell_length_a 5.540
_cell_length_b 5.540
_cell_length_c 8.722
_cell_angle_alpha 90.00
_cell_angle_beta 90.00
_cell_angle_gamma 90.00
_symmetry_space_group_name_H-M 'P 1'
_symmetry_Int_Tables_number 1
_symmetry_space_group_name_Hall 'P 1'
loop_
_atom_site_label
_atom_site_fract_x
_atom_site_fract_y
_atom_site_fract_z
_atom_site_occupancy
Ge1 0.282 0.000 0.210 1
Ge2 0.782 0.500 0.290 1
Ge3 0.500 0.782 0.710 1
Ge4 0.000 0.282 0.790 1
Ge5 0.218 0.500 0.290 1
Ge6 0.000 0.718 0.790 1
Ge7 0.500 0.218 0.710 1
Ge8 0.718 0.000 0.210 1
Tc1 0.000 0.000 0.000 1
Tc2 0.500 0.500 0.500 1
Dy1 0.500 0.500 0.000 1
Dy2 0.000 0.000 0.500 1
# Magnetization (μB per cell): 0.00
# Energy of formation from the pure elements (meV per atom): 141
# Volume (Å³ per cell): 267.7
# Space-group type: P4_2/nmc, No. 137